1.
A geometry-optimized Sm2MgGa4Ni3 structure, computed with PBE-GGA.

The structure in CIF format:
```
data_Sm2MgGa4Ni3
_space_group_name_H-M_alt 'P -4 m 2'
_space_group_IT_number 115
_cell_length_a 4.104
_cell_length_b 4.104
_cell_length_c 10.675
_cell_angle_alpha 90.00
_cell_angle_beta 90.00
_cell_angle_gamma 90.00
loop_
_space_group_symop_operation_xyz
'x,y,z'
'y,-x,-z'
'-x,-y,z'
'-y,x,-z'
'-x,y,z'
'-y,-x,-z'
'x,-y,z'
'y,x,-z'
loop_
_atom_site_label
_atom_site_fract_x
_atom_site_fract_y
_atom_site_fract_z
Sm1 0.000 0.500 0.230
Mg1 0.000 0.000 0.500
Ga1 0.000 0.000 0.000
Ga2 0.000 0.500 0.653
Ga3 0.500 0.500 0.000
Ni1 0.000 0.500 0.875
Ni2 0.500 0.500 0.500
```

2.
A geometry-optimized SmMg2GaNi2 structure, computed with PBE-GGA.

The structure in CIF format:
```
data_SmMg2GaNi2
_space_group_name_H-M_alt 'I 4/m m m'
_space_group_IT_number 139
_space_group_name_Hall '-I 4 2'
_cell_length_a 4.939
_cell_length_b 4.939
_cell_length_c 10.050
_cell_angle_alpha 90.00
_cell_angle_beta 90.00
_cell_angle_gamma 90.00
loop_
_atom_site_label
_atom_site_fract_x
_atom_site_fract_y
_atom_site_fract_z
Sm1 0.000 0.000 0.000
Mg1 0.000 0.500 0.250
Ga1 0.000 0.000 0.500
Ni1 0.000 0.000 0.274
```

3.
A geometry-optimized Sm2MgGa3Ni4 structure, computed with PBE-GGA.

The structure in CIF format:
```
data_Sm2MgGa3Ni4
_space_group_name_H-M_alt 'P -4 m 2'
_space_group_IT_number 115
_cell_length_a 4.092
_cell_length_b 4.092
_cell_length_c 10.340
_cell_angle_alpha 90.00
_cell_angle_beta 90.00
_cell_angle_gamma 90.00
loop_
_space_group_symop_operation_xyz
'x,y,z'
'y,-x,-z'
'-x,-y,z'
'-y,x,-z'
'-x,y,z'
'-y,-x,-z'
'x,-y,z'
'y,x,-z'
loop_
_atom_site_label
_atom_site_fract_x
_atom_site_fract_y
_atom_site_fract_z
Sm1 0.000 0.500 0.238
Mg1 0.000 0.000 0.500
Ga1 0.000 0.500 0.878
Ga2 0.500 0.500 0.500
Ni1 0.000 0.000 0.000
Ni2 0.000 0.500 0.646
Ni3 0.500 0.500 0.000
```

4.
A geometry-optimized Sm2MgGa2Ni5 structure, computed with PBE-GGA.

The structure in CIF format:
```
data_Sm2MgGa2Ni5
_space_group_name_H-M_alt 'P 4/m b m'
_space_group_IT_number 127
_space_group_name_Hall '-P 4 2ab'
_cell_length_a 9.699
_cell_length_b 9.699
_cell_length_c 3.544
_cell_angle_alpha 90.00
_cell_angle_beta 90.00
_cell_angle_gamma 90.00
loop_
_atom_site_label
_atom_site_fract_x
_atom_site_fract_y
_atom_site_fract_z
Sm1 0.180 0.320 0.000
Mg1 0.000 0.000 0.000
Ga1 0.116 0.616 0.000
Ni1 0.000 0.500 0.500
Ni2 0.062 0.781 0.500
```

We obtain DOS at the Fermi energy values of 5.4 3.9 9.1 7.1 states/eV/f.u. for the records listed above, in that order.
We obtain formation energy values of -0.5192 -0.0807 -0.4821 -0.2990 eV per atom for the records listed above, in that order.